This record from Alexandria describes ZrGaS2 after structural relaxation. The functional is PBE.

Calculated values
ΔE_f (raw): -23.557 kcal/mol of atoms

Geometry as CIF:
```
data_ZrGaS2
_chemical_formula_sum 'Zr3 Ga3 S6'
_cell_length_a 3.5711
_cell_length_b 3.5711
_cell_length_c 25.7399
_cell_angle_alpha 90.00
_cell_angle_beta 90.00
_cell_angle_gamma 120.00
_space_group_name_H-M_alt 'R -3 m'
_space_group_IT_number 166
_space_group_name_Hall '-R 3 2"'
loop_
_atom_site_label
_atom_site_type_symbol
_atom_site_fract_x
_atom_site_fract_y
_atom_site_fract_z
Zr1 Zr 0.0000 0.0000 0.0000
Ga1 Ga 0.0000 0.0000 0.5000
S1 S 0.0000 0.0000 0.3933
```



This record from Alexandria describes PrMgNi4Sn2 after structural relaxation. The functional is PBE.

Calculated values
Energy of formation from the pure elements: -0.34 eV/atom

Geometry as CIF:
```
data_PrMgNi4Sn2
_chemical_formula_sum 'Pr3 Mg3 Ni12 Sn6'
_cell_length_a 4.3332
_cell_length_b 4.3332
_cell_length_c 25.4887
_cell_angle_alpha 90.00
_cell_angle_beta 90.00
_cell_angle_gamma 120.00
_space_group_name_H-M_alt 'R -3 m'
_space_group_IT_number 166
_space_group_name_Hall '-R 3 2"'
loop_
_atom_site_label
_atom_site_type_symbol
_atom_site_fract_x
_atom_site_fract_y
_atom_site_fract_z
Pr1 Pr 0.0000 0.0000 0.0000
Mg1 Mg 0.0000 0.0000 0.5000
Ni1 Ni 0.0000 0.0000 0.1316
Ni2 Ni 0.0000 0.0000 0.4022
Sn1 Sn 0.0000 0.0000 0.2400
```